A plane-wave DFT calculation with PBE was carried out for a relaxed Pa2NiP2 crystal.

Output
- crystal system = monoclinic
- M_tot (μB/cell) = 0.00
- symmetry = P2_1/m (11)
- ΔH_f (0 K) (eV per atom) = -0.953
- energy (eV per atom) = -8.071
- DOS(E_F) (states/eV/atom) = 1.055

Unit cell a=3.8588 b=5.5756 c=9.7364 alpha=107.42 beta=90.00 gamma=90.00
Last column: nearest neighbours and their distance in Å.
Fractional positions:
P (0.2500, 0.9383, 0.8308)  3 Ni 2.29-2.36
P (0.7500, 0.3006, 0.6093)  6 Pa 2.78-2.80
Pa (0.7500, 0.8029, 0.6097)  6 P 2.78-2.82
Ni (0.7500, 0.8171, 0.9332)  3 P 2.29-2.36
P (0.2500, 0.6994, 0.3907)  6 Pa 2.78-2.80
Pa (0.7500, 0.5683, 0.1749)  4 P 2.77-2.81, 3 Ni 2.84-3.07
P (0.7500, 0.0617, 0.1692)  3 Ni 2.29-2.36
Pa (0.2500, 0.1971, 0.3903)  6 P 2.78-2.82
Ni (0.2500, 0.1829, 0.0668)  3 P 2.29-2.36
Pa (0.2500, 0.4317, 0.8251)  4 P 2.77-2.81, 3 Ni 2.84-3.07

=====

A plane-wave DFT calculation with PBE was carried out for a relaxed ReAg2W crystal.

Output
- crystal system = orthorhombic
- M_tot (μB/cell) = 0.00
- symmetry = Pmm2 (25)
- ΔH_f (0 K) (eV per atom) = 0.538
- energy above the most stable polymorph in this dataset (eV per atom) = 0.181
- energy (eV per atom) = -7.238
- DOS(E_F) (states/eV/atom) = 0.571

Unit cell a=2.6890 b=4.2050 c=5.8427 alpha=90.00 beta=90.00 gamma=90.00
Last column: nearest neighbours and their distance in Å.
Fractional positions:
Ag (0.5000, 0.5000, 0.2424)  6 Ag 2.69-2.85, 2 W 2.84-3.00, 4 Re 2.98
Ag (0.0000, 0.0000, 0.0082)  6 Ag 2.69-2.85, 2 Re 2.85-2.99, 4 W 2.98
Re (0.0000, 0.0000, 0.5204)  2 Re 2.69, 4 W 2.78, 6 Ag 2.85-2.99
W (0.5000, 0.5000, 0.7290)  2 W 2.69, 4 Re 2.78, 6 Ag 2.84-3.00

=====

A plane-wave DFT calculation with PBE was carried out for a relaxed AlAgP2 crystal.

Output
- crystal system = trigonal
- M_tot (μB/cell) = 0.00
- symmetry = P3m1 (156)
- ΔH_f (0 K) (eV per atom) = 0.090
- energy (eV per atom) = -4.263
- DOS(E_F) (states/eV/atom) = 0.230

Unit cell a=3.3403 b=3.3403 c=7.4143 alpha=90.00 beta=90.00 gamma=120.00
Last column: nearest neighbours and their distance in Å.
Fractional positions:
Ag (0.6667, 0.3333, 0.5423)  4 P 2.46-2.63
Al (0.0000, 0.0000, 0.0083)  6 P 2.44-2.55
P (0.3333, 0.6667, 0.7837)  3 Al 2.55, 3 Ag 2.63
P (0.6667, 0.3333, 0.2107)  3 Al 2.44, 1 Ag 2.46

=====

A plane-wave DFT calculation with PBE was carried out for a relaxed EuDy2Sn crystal.

Output
- crystal system = tetragonal
- M_tot (μB/cell) = 7.46
- symmetry = P4/mmm (123)
- ΔH_f (0 K) (eV per atom) = -0.254
- energy above the most stable polymorph in this dataset (eV per atom) = 0.120
- energy (eV per atom) = -6.125
- DOS(E_F) (states/eV/atom) = 1.299

Unit cell a=4.1228 b=4.1228 c=7.0633 alpha=90.00 beta=90.00 gamma=90.00
Last column: nearest neighbours and their distance in Å.
Fractional positions:
Eu (0.5000, 0.5000, 0.0000)  8 Dy 3.52, 2 Sn 3.53
Sn (0.5000, 0.5000, 0.5000)  8 Dy 3.30, 2 Eu 3.53
Dy (0.0000, 0.0000, 0.2798)  1 Dy 3.11, 4 Sn 3.30
Dy (0.0000, 0.0000, 0.7202)  1 Dy 3.11, 4 Sn 3.30

=====

A plane-wave DFT calculation with PBE was carried out for a relaxed MgReHg2 crystal.

Output
- crystal system = trigonal
- M_tot (μB/cell) = 0.00
- symmetry = R-3m (166)
- ΔH_f (0 K) (eV per atom) = 0.509
- energy (eV per atom) = -3.152
- DOS(E_F) (states/eV/atom) = 0.678

Unit cell a=9.6491 b=9.6491 c=9.6491 alpha=18.05 beta=18.05 gamma=18.05
Last column: nearest neighbours and their distance in Å.
Fractional positions:
Hg (0.5005, 0.5005, 0.5005)  3 Mg 2.93, 3 Re 2.96, 6 Hg 3.03
Re (0.7500, 0.7500, 0.7500)  6 Hg 2.96, 6 Re 3.03
Hg (0.9995, 0.9995, 0.9995)  3 Mg 2.93, 3 Re 2.96, 6 Hg 3.03
Mg (0.2500, 0.2500, 0.2500)  6 Hg 2.93, 6 Mg 3.03

=====

A plane-wave DFT calculation with PBE was carried out for a relaxed AgPRu2 crystal.

Output
- crystal system = orthorhombic
- M_tot (μB/cell) = 0.00
- symmetry = Cmmm (65)
- ΔH_f (0 K) (eV per atom) = 0.179
- energy above the most stable polymorph in this dataset (eV per atom) = 0.202
- energy (eV per atom) = -6.524
- DOS(E_F) (states/eV/atom) = 0.760

Unit cell a=2.8446 b=2.8446 c=8.4679 alpha=90.00 beta=90.00 gamma=118.69
Last column: nearest neighbours and their distance in Å.
Fractional positions:
Ru (0.0000, 0.0000, 0.2058)  2 P 2.27
Ru (0.0000, 0.0000, 0.7942)  2 P 2.27
Ag (0.5000, 0.5000, 0.5000)  6 Ag 2.84-2.90, 4 Ru 2.88
P (0.5000, 0.5000, 0.0000)  4 Ru 2.27

=====

A plane-wave DFT calculation with PBE was carried out for a relaxed CeMgZn2 crystal.

Output
- crystal system = tetragonal
- M_tot (μB/cell) = 0.81
- symmetry = P4/mmm (123)
- ΔH_f (0 K) (eV per atom) = -0.105
- energy above the most stable polymorph in this dataset (eV per atom) = 0.172
- energy (eV per atom) = -2.624
- DOS(E_F) (states/eV/atom) = 1.564

Unit cell a=3.5094 b=4.9765 c=4.9765 alpha=90.00 beta=90.00 gamma=90.00
Last column: nearest neighbours and their distance in Å.
Fractional positions:
Zn (0.0000, 0.0000, 0.5000)  4 Ce 3.04, 4 Mg 3.04
Mg (0.5000, 0.0000, 0.0000)  8 Zn 3.04
Ce (0.5000, 0.5000, 0.5000)  8 Zn 3.04
Zn (0.0000, 0.5000, 0.0000)  4 Ce 3.04, 4 Mg 3.04

=====

A plane-wave DFT calculation with PBE was carried out for a relaxed CaHoLuCd crystal.

Output
- crystal system = cubic
- M_tot (μB/cell) = 0.00
- symmetry = F-43m (216)
- ΔH_f (0 K) (eV per atom) = 0.009
- energy (eV per atom) = -2.995
- DOS(E_F) (states/eV/atom) = 0.590

Unit cell a=5.4858 b=5.4858 c=5.4858 alpha=60.00 beta=60.00 gamma=60.00
Last column: nearest neighbours and their distance in Å.
Fractional positions:
Lu (0.2500, 0.2500, 0.2500)  4 Ho 3.36, 4 Ca 3.36
Ca (0.0000, 0.0000, 0.0000)  4 Cd 3.36, 4 Lu 3.36
Ho (0.5000, 0.5000, 0.5000)  4 Lu 3.36, 4 Cd 3.36
Cd (0.7500, 0.7500, 0.7500)  4 Ca 3.36, 4 Ho 3.36